1.
Here is an optimized crystal structure of LiDyGaRh from Alexandria. Energies are from GGA-PBE.

- formation energy from the elements (eV/atom) = -0.572
- mass density (g cm⁻³) = 8.2
- Fermi-level density of states (states/eV per atom) = 0.978
- VASP energy (eV/cell) = -19.183
- size of the total moment (μB per atom) = 0.000

Lattice parameters (Å, degrees): 4.6100 4.6100 4.6100 60.00 60.00 60.00
With the nearest neighbours (Å) after each atom.
Element x y z (fractional)
Li (0.5000, 0.5000, 0.5000)  4 Dy 2.82, 4 Ga 2.82
Rh (0.0000, 0.0000, 0.0000)  4 Dy 2.82, 4 Ga 2.82
Ga (0.2500, 0.2500, 0.2500)  4 Li 2.82, 4 Rh 2.82
Dy (0.7500, 0.7500, 0.7500)  4 Li 2.82, 4 Rh 2.82

2.
Here is an optimized crystal structure of In2HgPd2 from Alexandria. Energies are from GGA-PBE.

- formation energy from the elements (eV/atom) = -0.160
- excess energy over the best structure of this formula in the dataset (eV/atom) = 0.212
- mass density (g cm⁻³) = 9.7
- Fermi-level density of states (states/eV per atom) = 0.384
- VASP energy (eV/cell) = -16.963
- size of the total moment (μB per atom) = 0.000

Lattice parameters (Å, degrees): 3.9958 3.9958 7.4751 74.50 74.50 90.00
With the nearest neighbours (Å) after each atom.
Element x y z (fractional)
Hg (0.0000, 0.0000, 0.0000)  8 In 3.24
Pd (0.7500, 0.2500, 0.5000)  4 In 2.74, 4 Pd 2.83
Pd (0.2500, 0.7500, 0.5000)  4 In 2.74, 4 Pd 2.83
In (0.3853, 0.3853, 0.2293)  4 Pd 2.74
In (0.6147, 0.6147, 0.7707)  4 Pd 2.74

3.
Here is an optimized crystal structure of TmThMg2 from Alexandria. Energies are from GGA-PBE.

- formation energy from the elements (eV/atom) = 0.021
- excess energy over the best structure of this formula in the dataset (eV/atom) = 0.014
- mass density (g cm⁻³) = 6.8
- Fermi-level density of states (states/eV per atom) = 1.169
- VASP energy (eV/cell) = -14.995
- size of the total moment (μB per atom) = 0.000

Lattice parameters (Å, degrees): 3.7157 3.7157 7.9271 90.00 90.00 90.00
With the nearest neighbours (Å) after each atom.
Element x y z (fractional)
Mg (0.0000, 0.0000, 0.7358)  4 Tm 3.22, 4 Th 3.36
Mg (0.0000, 0.0000, 0.2642)  4 Tm 3.22, 4 Th 3.36
Tm (0.5000, 0.5000, 0.5000)  8 Mg 3.22
Th (0.5000, 0.5000, 0.0000)  8 Mg 3.36, 4 Th 3.72

4.
Here is an optimized crystal structure of CaZnCr2 from Alexandria. Energies are from GGA-PBE.

- formation energy from the elements (eV/atom) = 0.791
- mass density (g cm⁻³) = 4.2
- Fermi-level density of states (states/eV per atom) = 0.924
- VASP energy (eV/cell) = -19.359
- size of the total moment (μB per atom) = 1.906

Lattice parameters (Å, degrees): 9.3505 9.3505 9.3505 19.79 19.79 19.79
With the nearest neighbours (Å) after each atom.
Element x y z (fractional)
Cr (0.9878, 0.9878, 0.9878)  3 Zn 2.70
Cr (0.5122, 0.5122, 0.5122)  3 Zn 2.70
Zn (0.2500, 0.2500, 0.2500)  6 Cr 2.70
Ca (0.7500, 0.7500, 0.7500)  6 Ca 3.21, 6 Cr 3.22

5.
Here is an optimized crystal structure of SrLiCr from Alexandria. Energies are from GGA-PBE.

- formation energy from the elements (eV/atom) = 1.009
- excess energy over the best structure of this formula in the dataset (eV/atom) = 0.450
- mass density (g cm⁻³) = 2.2
- Fermi-level density of states (states/eV per atom) = 0.709
- VASP energy (eV/cell) = -10.192
- size of the total moment (μB per atom) = 1.664

Lattice parameters (Å, degrees): 5.3992 5.3992 5.3992 60.00 60.00 60.00
With the nearest neighbours (Å) after each atom.
Element x y z (fractional)
Cr (0.0000, 0.0000, 0.0000)  4 Sr 3.31
Li (0.5000, 0.5000, 0.5000)  4 Sr 3.31
Sr (0.7500, 0.7500, 0.7500)  4 Cr 3.31, 4 Li 3.31

6.
Here is an optimized crystal structure of AlPCl2 from Alexandria. Energies are from GGA-PBE.

- excess energy over the best structure of this formula in the dataset (eV/atom) = 0.846
- E_form (uncorrected) (meV per atom) = 200.9
- mass density (g cm⁻³) = 2.4
- Fermi-level density of states (states/eV per atom) = 0.458
- VASP energy (eV/cell) = -12.042
- size of the total moment (μB per atom) = 0.000

Lattice parameters (Å, degrees): 3.0118 3.0118 9.7773 90.00 90.00 90.00
With the nearest neighbours (Å) after each atom.
Element x y z (fractional)
P (0.5000, 0.5000, 0.2500)  4 P 3.01
Al (0.5000, 0.5000, 0.7500)  8 Cl 2.63
Cl (0.0000, 0.0000, 0.9075)  4 Al 2.63
Cl (0.0000, 0.0000, 0.5925)  4 Al 2.63

7.
Here is an optimized crystal structure of LuThP2 from Alexandria. Energies are from GGA-PBE.

- formation energy from the elements (eV/atom) = -1.554
- mass density (g cm⁻³) = 8.4
- Fermi-level density of states (states/eV per atom) = 0.438
- VASP energy (eV/cell) = -28.979
- size of the total moment (μB per atom) = 0.000

Lattice parameters (Å, degrees): 4.0473 4.0473 6.9324 73.03 73.03 60.00
With the nearest neighbours (Å) after each atom.
Element x y z (fractional)
P (0.2547, 0.2547, 0.2359)  3 Lu 2.80, 3 Th 2.90
P (0.7453, 0.7453, 0.7641)  3 Lu 2.80, 3 Th 2.90
Lu (0.0000, 0.0000, 0.0000)  6 P 2.80
Th (0.5000, 0.5000, 0.5000)  6 P 2.90

8.
Here is an optimized crystal structure of Be2ReBr from Alexandria. Energies are from GGA-PBE.

- excess energy over the best structure of this formula in the dataset (eV/atom) = 0.377
- E_form (uncorrected) (meV per atom) = 759.7
- mass density (g cm⁻³) = 6.2
- Fermi-level density of states (states/eV per atom) = 0.503
- VASP energy (eV/cell) = -18.535
- size of the total moment (μB per atom) = 0.000

Lattice parameters (Å, degrees): 2.6642 2.6642 10.7979 90.00 90.00 99.79
With the nearest neighbours (Å) after each atom.
Element x y z (fractional)
Re (0.5000, 0.5000, 0.8767)  4 Be 2.34-2.58
Br (0.0000, 0.0000, 0.4742)  4 Br 2.66
Be (0.0000, 0.0000, 0.0236)  2 Be 2.04
Be (0.5000, 0.5000, 0.1255)  2 Be 2.04

Q: The lowest mass density belongs to which entry?
A: SrLiCr